## P
A relaxed K2YAu crystal, computed with GGA-PBE.

The structure in POSCAR format:
```
K2YAu
1.0
-4.0215 1.9686 -0.5459
-1.9973 -3.5567 1.8873
-1.4361 -0.8057 7.6743
Au K Y
1 2 1
Direct
0.0000 0.0000 0.5000 Au
0.0000 0.0000 0.0000 K
0.5000 0.5000 0.0000 K
0.5000 0.5000 0.5000 Y
```

Calculated density (Mg/m³): 4.64
D(E_F) (states/eV/cell): 3.8

---

## Q
A relaxed K2YAu crystal, computed with GGA-PBE.

The structure in POSCAR format:
```
K2YAu
1.0
-3.3457 0.0427 -10.6586
-5.8921 -9.3167 1.8122
-6.8940 -3.0580 -3.7027
Y K Au
2 4 2
Direct
0.5000 0.5000 0.0000 Y
0.2500 0.7500 0.5000 Y
0.7317 0.1250 0.2500 K
0.0183 0.6250 0.2500 K
0.3750 0.2683 0.7500 K
0.8750 0.9817 0.7500 K
0.0000 0.0000 0.0000 Au
0.7500 0.2500 0.5000 Au
```

Calculated density (Mg/m³): 3.39
D(E_F) (states/eV/cell): 7.3

---

## R
A relaxed K2YAu crystal, computed with GGA-PBE.

The structure in POSCAR format:
```
K2YAu
1.0
-2.4378 -0.4218 3.4753
-3.5539 -2.3532 -0.1764
3.9084 -10.1015 4.1482
Au K Y
1 2 1
Direct
0.7631 0.7631 0.7133 Au
0.0291 0.0291 0.9168 K
0.2366 0.2366 0.2814 K
0.4712 0.4712 0.5885 Y
```

Calculated density (Mg/m³): 3.38
D(E_F) (states/eV/cell): 4.0

---

## S
A relaxed K2YAu crystal, computed with GGA-PBE.

The structure in POSCAR format:
```
K2YAu
1.0
-2.2475 1.0883 2.9546
-2.7322 -2.4781 -1.1656
4.3733 -7.7249 6.1720
Au K Y
1 2 1
Direct
0.5000 0.5000 0.6956 Au
0.0000 0.0000 0.9228 K
0.5000 0.5000 0.2923 K
0.0000 0.0000 0.5893 Y
```

Calculated density (Mg/m³): 3.74
D(E_F) (states/eV/cell): 3.1

---

According to the calculations, the structures order from most to least stable as S, R, P, Q.

---

## P
A relaxed K2YAu crystal, computed with GGA-PBE.

The structure in POSCAR format:
```
K2YAu
1.0
-2.0611 0.6286 -4.5847
5.9410 -4.3270 -0.5570
-1.4414 -3.6919 -0.0416
Au K Y
1 2 1
Direct
0.5000 0.5000 0.0000 Au
0.0000 0.0000 0.0000 K
0.5000 0.0000 0.5000 K
0.0000 0.5000 0.5000 Y
```

Calculated density (Mg/m³): 4.52
D(E_F) (states/eV/cell): 3.4

---

## Q
A relaxed K2YAu crystal, computed with GGA-PBE.

The structure in POSCAR format:
```
K2YAu
1.0
-3.4831 1.3015 6.7774
-4.5529 -5.2818 3.3366
6.8717 2.3516 -2.6473
Au K Y
1 2 1
Direct
0.2713 0.7713 0.5000 Au
0.0600 0.0600 0.0000 K
0.7437 0.2437 0.5000 K
0.4250 0.4250 0.0000 Y
```

Calculated density (Mg/m³): 3.64
D(E_F) (states/eV/cell): 3.9

---

According to the calculations, the structures order from most to least stable as Q, P.